Record 1
This record from the Alexandria database describes La2I3N after structural relaxation. The functional is GGA-PBE.

Lattice parameters (Å, degrees): 4.221 10.544 11.087 102.06 100.94 101.54
Fractional positions:
La  0.109  0.179  0.038
La  0.356  0.987  0.725
La  0.644  0.013  0.275
La  0.891  0.821  0.962
I  0.208  0.672  0.743
I  0.337  0.169  0.506
I  0.407  0.690  0.125
I  0.593  0.310  0.875
I  0.663  0.831  0.494
I  0.792  0.328  0.257
N  0.075  0.005  0.145
N  0.925  0.995  0.855

Results
Its total magnetization is 0.0 Bohr magnetons per cell. The uncorrected formation energy is -1.57 eV per atom. The space group is P-1, No. 2.

---

Record 2
This record from the Alexandria database describes KLiPdO2 after structural relaxation. The functional is GGA-PBE.

Lattice parameters (Å, degrees): 4.121 4.121 4.347 90.00 90.00 90.00
Fractional positions:
K  0.000  0.000  0.000
Li  0.500  0.500  0.500
Pd  0.500  0.500  0.000
O  0.000  0.500  0.500
O  0.500  0.000  0.500

Results
Its total magnetization is 2.0 Bohr magnetons per cell. The distance to the lowest polymorph of the same formula is 474 kJ/mol of formula units. The uncorrected formation energy is -0.06 eV per atom. The space group is P4/mmm, No. 123.

---

Record 3
This record from the Alexandria database describes CaMg2Pd5 after structural relaxation. The functional is GGA-PBE.

Lattice parameters (Å, degrees): 7.101 7.101 7.101 146.44 130.56 61.08
Fractional positions:
Ca  0.000  0.000  0.000
Mg  0.285  0.785  0.500
Mg  0.715  0.215  0.500
Pd  0.151  0.383  0.768
Pd  0.384  0.617  0.768
Pd  0.500  0.000  0.500
Pd  0.616  0.383  0.232
Pd  0.849  0.617  0.232

Results
Its total magnetization is 0.0 Bohr magnetons per cell. The calculated formation energy is -0.499 eV/atom. The space group is Immm, No. 71.

---

Record 4
This record from the Alexandria database describes PmNi4As2 after structural relaxation. The functional is GGA-PBE.

Lattice parameters (Å, degrees): 7.347 7.347 3.793 90.00 90.00 90.00
Fractional positions:
Pm  0.000  0.000  0.000
Pm  0.500  0.500  0.500
Ni  0.088  0.348  0.500
Ni  0.152  0.588  0.000
Ni  0.348  0.088  0.500
Ni  0.412  0.848  0.000
Ni  0.588  0.152  0.000
Ni  0.652  0.912  0.500
Ni  0.848  0.412  0.000
Ni  0.912  0.652  0.500
As  0.219  0.781  0.500
As  0.281  0.281  0.000
As  0.719  0.719  0.000
As  0.781  0.219  0.500

Results
Its total magnetization is 0.0 Bohr magnetons per cell. The calculated formation energy is -0.610 eV/atom. The distance to the lowest polymorph of the same formula is 0 kJ/mol of formula units. The space group is P4_2/mnm, No. 136.

---

Record 5
This record from the Alexandria database describes LaAs12Rh4 after structural relaxation. The functional is GGA-PBE.

Lattice parameters (Å, degrees): 7.512 7.512 7.512 109.47 109.47 109.47
Fractional positions:
La  0.000  0.000  0.000
As  0.147  0.494  0.347
As  0.147  0.800  0.653
As  0.200  0.347  0.853
As  0.347  0.147  0.494
As  0.347  0.853  0.200
As  0.494  0.347  0.147
As  0.506  0.653  0.853
As  0.653  0.147  0.800
As  0.653  0.853  0.506
As  0.800  0.653  0.147
As  0.853  0.200  0.347
As  0.853  0.506  0.653
Rh  0.000  0.000  0.500
Rh  0.000  0.500  0.000
Rh  0.500  0.000  0.000
Rh  0.500  0.500  0.500

Results
Its total magnetization is 0.0 Bohr magnetons per cell. The calculated formation energy is -0.517 eV/atom. The space group is Im-3, No. 204.

---

Record 6
This record from the Alexandria database describes YTh4Pd4 after structural relaxation. The functional is GGA-PBE.

Lattice parameters (Å, degrees): 9.004 9.004 5.994 90.00 90.00 90.00
Fractional positions:
Y  0.250  0.250  0.250
Y  0.750  0.750  0.750
Th  0.050  0.665  0.155
Th  0.165  0.950  0.655
Th  0.335  0.550  0.655
Th  0.450  0.835  0.155
Th  0.550  0.165  0.845
Th  0.665  0.450  0.345
Th  0.835  0.050  0.345
Th  0.950  0.335  0.845
Pd  0.034  0.637  0.644
Pd  0.137  0.966  0.144
Pd  0.363  0.534  0.144
Pd  0.466  0.863  0.644
Pd  0.534  0.137  0.356
Pd  0.637  0.466  0.856
Pd  0.863  0.034  0.856
Pd  0.966  0.363  0.356

Results
Its total magnetization is 0.0 Bohr magnetons per cell. The calculated formation energy is -0.532 eV/atom. The space group is P4_2/n, No. 86.

---

Record 7
This record from the Alexandria database describes Pr3Nd3Tl2Co after structural relaxation. The functional is GGA-PBE.

Lattice parameters (Å, degrees): 9.001 9.001 3.842 90.00 90.00 120.00
Fractional positions:
Pr  0.000  0.767  0.000
Pr  0.233  0.233  0.000
Pr  0.767  0.000  0.000
Nd  0.000  0.402  0.500
Nd  0.402  0.000  0.500
Nd  0.598  0.598  0.500
Tl  0.333  0.667  0.000
Tl  0.667  0.333  0.000
Co  0.000  0.000  0.500

Results
Its total magnetization is 0.0 Bohr magnetons per cell. The calculated formation energy is -0.206 eV/atom. The space group is P-62m, No. 189.

---

Record 8
This record from the Alexandria database describes K2CuP2 after structural relaxation. The functional is GGA-PBE.

Lattice parameters (Å, degrees): 6.357 6.357 5.363 90.00 90.00 90.00
Fractional positions:
K  0.174  0.326  0.000
K  0.326  0.826  0.000
K  0.674  0.174  0.000
K  0.826  0.674  0.000
Cu  0.000  0.000  0.500
Cu  0.500  0.500  0.500
P  0.127  0.627  0.500
P  0.373  0.127  0.500
P  0.627  0.873  0.500
P  0.873  0.373  0.500

Results
Its total magnetization is 0.0 Bohr magnetons per cell. The calculated formation energy is -0.132 eV/atom. The space group is P4/mbm, No. 127.

---

Record 9
This record from the Alexandria database describes Ac6Hg3Rh after structural relaxation. The functional is GGA-PBE.

Lattice parameters (Å, degrees): 9.841 9.841 8.194 90.00 90.00 103.54
Fractional positions:
Ac  0.001  0.999  0.500
Ac  0.085  0.591  0.428
Ac  0.254  0.746  0.981
Ac  0.319  0.348  0.951
Ac  0.348  0.319  0.451
Ac  0.409  0.915  0.428
Ac  0.591  0.085  0.928
Ac  0.652  0.681  0.951
Ac  0.681  0.652  0.451
Ac  0.746  0.254  0.481
Ac  0.915  0.409  0.928
Ac  0.999  0.001  0.000
Hg  0.056  0.282  0.245
Hg  0.282  0.056  0.745
Hg  0.389  0.611  0.665
Hg  0.611  0.389  0.165
Hg  0.718  0.944  0.245
Hg  0.944  0.718  0.745
Rh  0.142  0.858  0.260
Rh  0.858  0.142  0.760

Results
Its total magnetization is 0.0 Bohr magnetons per cell. The calculated formation energy is -0.272 eV/atom. The space group is Cmc2_1, No. 36.

---

Record 10
This record from the Alexandria database describes BaCa3Ag after structural relaxation. The functional is GGA-PBE.

Lattice parameters (Å, degrees): 7.282 7.282 14.383 111.39 111.39 34.13
Fractional positions:
Ba  0.000  0.000  0.000
Ba  0.123  0.123  0.303
Ca  0.314  0.314  0.763
Ca  0.347  0.347  0.154
Ca  0.653  0.653  0.550
Ca  0.689  0.689  0.911
Ca  0.887  0.887  0.403
Ca  0.998  0.998  0.684
Ag  0.331  0.331  0.546
Ag  0.690  0.690  0.151

Results
Its total magnetization is 0.0 Bohr magnetons per cell. The calculated formation energy is -0.111 eV/atom. The distance to the lowest polymorph of the same formula is 0 kJ/mol of formula units. The space group is Cm, No. 8.

---

Record 11
This record from the Alexandria database describes SmDy9Th2 after structural relaxation. The functional is GGA-PBE.

Lattice parameters (Å, degrees): 11.341 11.341 3.490 90.00 90.00 120.00
Fractional positions:
Sm  0.000  0.000  0.000
Dy  0.000  0.500  0.000
Dy  0.174  0.349  0.500
Dy  0.174  0.826  0.500
Dy  0.349  0.174  0.500
Dy  0.500  0.000  0.000
Dy  0.500  0.500  0.000
Dy  0.651  0.826  0.500
Dy  0.826  0.174  0.500
Dy  0.826  0.651  0.500
Th  0.333  0.667  0.000
Th  0.667  0.333  0.000

Results
Its total magnetization is 0.0 Bohr magnetons per cell. The calculated formation energy is 0.104 eV/atom. The distance to the lowest polymorph of the same formula is 84 kJ/mol of formula units. The space group is P6/mmm, No. 191.

---

Record 12
This record from the Alexandria database describes Tl3SeS2 after structural relaxation. The functional is GGA-PBE.

Lattice parameters (Å, degrees): 7.225 7.225 7.225 147.27 128.68 62.21
Fractional positions:
Tl  0.000  0.000  0.000
Tl  0.327  0.327  0.000
Tl  0.673  0.673  0.000
Se  0.500  0.000  0.500
S  0.173  0.673  0.500
S  0.827  0.327  0.500

Results
Its total magnetization is 0.0 Bohr magnetons per cell. The uncorrected formation energy is -0.20 eV per atom. The space group is Immm, No. 71.

---

Record 13
This record from the Alexandria database describes MoPd4 after structural relaxation. The functional is GGA-PBE.

Lattice parameters (Å, degrees): 11.542 11.542 11.542 13.85 13.85 13.85
Fractional positions:
Mo  0.000  0.000  0.000
Pd  0.201  0.201  0.201
Pd  0.398  0.398  0.398
Pd  0.602  0.602  0.602
Pd  0.799  0.799  0.799

Results
Its total magnetization is 0.0 Bohr magnetons per cell. The calculated formation energy is -0.048 eV/atom. The space group is R-3m, No. 166.

---

Record 14
This record from the Alexandria database describes Mg2AgO3 after structural relaxation. The functional is GGA-PBE.

Lattice parameters (Å, degrees): 5.365 5.365 5.544 90.00 90.00 120.00
Fractional positions:
Mg  0.333  0.667  0.000
Mg  0.333  0.667  0.500
Mg  0.667  0.333  0.000
Mg  0.667  0.333  0.500
Ag  0.000  0.000  0.250
Ag  0.000  0.000  0.750
O  0.000  0.409  0.250
O  0.000  0.591  0.750
O  0.409  0.000  0.250
O  0.409  0.409  0.750
O  0.591  0.000  0.750
O  0.591  0.591  0.250

Results
Its total magnetization is 2.1 Bohr magnetons per cell. The uncorrected formation energy is -1.63 eV per atom. The space group is P6_3/mcm, No. 193.

---

Record 15
This record from the Alexandria database describes PrYLuPu after structural relaxation. The functional is GGA-PBE.

Lattice parameters (Å, degrees): 5.634 5.634 5.634 60.00 60.00 60.00
Fractional positions:
Pr  0.000  0.000  0.000
Y  0.250  0.250  0.250
Lu  0.750  0.750  0.750
Pu  0.500  0.500  0.500

Results
Its total magnetization is 6.1 Bohr magnetons per cell. The calculated formation energy is 0.206 eV/atom. The space group is F-43m, No. 216.

---

Record 16
This record from the Alexandria database describes LiBi2IrO6 after structural relaxation. The functional is GGA-PBE.

Lattice parameters (Å, degrees): 5.796 5.796 5.796 58.45 58.45 58.45
Fractional positions:
Li  0.000  0.000  0.000
Bi  0.228  0.228  0.228
Bi  0.738  0.738  0.738
Ir  0.525  0.525  0.525
O  0.191  0.384  0.785
O  0.315  0.864  0.658
O  0.384  0.785  0.191
O  0.658  0.315  0.864
O  0.785  0.191  0.384
O  0.864  0.658  0.315

Results
Its total magnetization is 0.0 Bohr magnetons per cell. The uncorrected formation energy is -1.18 eV per atom. The space group is R3, No. 146.

---

Record 17
This record from the Alexandria database describes CuTcRh2 after structural relaxation. The functional is GGA-PBE.

Lattice parameters (Å, degrees): 4.767 4.767 4.767 133.99 133.99 67.11
Fractional positions:
Cu  0.000  0.000  0.000
Tc  0.750  0.250  0.500
Rh  0.250  0.750  0.500
Rh  0.500  0.500  0.000

Results
Its total magnetization is 0.0 Bohr magnetons per cell. The calculated formation energy is 0.064 eV/atom. The distance to the lowest polymorph of the same formula is 50 kJ/mol of formula units. The space group is I-4m2, No. 119.

---

Record 18
This record from the Alexandria database describes LiTc2Pb after structural relaxation. The functional is GGA-PBE.

Lattice parameters (Å, degrees): 4.530 4.530 5.229 98.69 98.69 40.71
Fractional positions:
Li  0.000  0.000  0.000
Tc  0.487  0.487  0.437
Tc  0.762  0.762  0.281
Pb  0.244  0.244  0.766

Results
Its total magnetization is 0.0 Bohr magnetons per cell. The calculated formation energy is 0.393 eV/atom. The space group is Cm, No. 8.

---

Record 19
This record from the Alexandria database describes IrPdRu2 after structural relaxation. The functional is GGA-PBE.

Lattice parameters (Å, degrees): 9.113 9.113 9.113 17.17 17.17 17.17
Fractional positions:
Ir  0.000  0.000  0.000
Pd  0.500  0.500  0.500
Ru  0.252  0.252  0.252
Ru  0.748  0.748  0.748

Results
Its total magnetization is 0.0 Bohr magnetons per cell. The calculated formation energy is 0.093 eV/atom. The distance to the lowest polymorph of the same formula is 0 kJ/mol of formula units. The space group is R-3m, No. 166.

---

Record 20
This record from the Alexandria database describes SiSnSb2I after structural relaxation. The functional is GGA-PBE.

Lattice parameters (Å, degrees): 5.320 5.320 5.444 90.00 90.00 90.00
Fractional positions:
Si  0.000  0.000  0.000
Sn  0.500  0.500  0.500
Sb  0.000  0.500  0.000
Sb  0.500  0.000  0.000
I  0.000  0.000  0.500

Results
Its total magnetization is 0.0 Bohr magnetons per cell. The distance to the lowest polymorph of the same formula is 0 kJ/mol of formula units. The uncorrected formation energy is 0.51 eV per atom. The space group is P4/mmm, No. 123.

---

Record 21
This record from the Alexandria database describes Ti2Si4Tc after structural relaxation. The functional is GGA-PBE.

Lattice parameters (Å, degrees): 6.999 6.999 6.999 141.81 141.81 55.12
Fractional positions:
Ti  0.104  0.104  0.000
Ti  0.896  0.896  0.000
Si  0.000  0.500  0.500
Si  0.304  0.304  0.000
Si  0.500  0.000  0.500
Si  0.696  0.696  0.000
Tc  0.500  0.500  0.000

Results
Its total magnetization is 0.0 Bohr magnetons per cell. The uncorrected formation energy is 0.22 eV per atom. The space group is I4/mmm, No. 139.

---

Record 22
This record from the Alexandria database describes IrRu3 after structural relaxation. The functional is GGA-PBE.

Lattice parameters (Å, degrees): 2.737 2.737 8.659 90.00 90.00 120.00
Fractional positions:
Ir  0.000  0.000  0.000
Ru  0.000  0.000  0.500
Ru  0.333  0.667  0.255
Ru  0.333  0.667  0.745

Results
Its total magnetization is 0.0 Bohr magnetons per cell. The calculated formation energy is -0.022 eV/atom. The space group is P-6m2, No. 187.

---

Record 23
This record from the Alexandria database describes Ca2SiO2 after structural relaxation. The functional is GGA-PBE.

Lattice parameters (Å, degrees): 6.810 6.810 3.207 90.00 90.00 90.00
Fractional positions:
Ca  0.160  0.340  0.000
Ca  0.340  0.840  0.000
Ca  0.660  0.160  0.000
Ca  0.840  0.660  0.000
Si  0.000  0.000  0.500
Si  0.500  0.500  0.500
O  0.158  0.658  0.500
O  0.342  0.158  0.500
O  0.658  0.842  0.500
O  0.842  0.342  0.500

Results
Its total magnetization is 0.0 Bohr magnetons per cell. The distance to the lowest polymorph of the same formula is 130 kJ/mol of formula units. The uncorrected formation energy is -1.55 eV per atom. The space group is P4/mbm, No. 127.